4
Lattice="1.501 0.867 8.185 -1.501 0.867 8.185 0.000 -1.733 8.185" Properties=species:S:1:pos:R:3 comment="RuWCl2 (PBE, relaxed)" e_form_raw_mev_per_atom=548.2 energy_ev_per_atom=-5.93 magmom_total_mub_per_fu=0.00 pbc="T T T"
Ru 0.000 0.000 0.000
W 0.000 0.000 12.278
Cl 0.000 0.000 2.279
Cl 0.000 0.000 22.277



9
Lattice="-2.400 3.024 6.709 2.400 -3.024 6.709 2.400 3.024 -6.709" Properties=species:S:1:pos:R:3 comment="SrZn2SiAu5 (PBE, relaxed)" e_form_raw_mev_per_atom=-244.6 energy_ev_per_atom=-3.14 magmom_total_mub_per_fu=0.00 pbc="T T T"
Sr 0.000 0.000 0.000
Zn 2.400 0.000 4.126
Zn 0.000 3.024 2.583
Si 0.000 0.000 6.709
Au 2.400 1.466 -2.011
Au 2.400 1.466 2.011
Au 0.000 3.024 0.000
Au 0.000 1.558 4.698
Au 0.000 1.558 8.720



10
Lattice="4.019 0.000 0.000 0.000 4.019 0.000 0.000 0.000 9.214" Properties=species:S:1:pos:R:3 comment="Tb2Ni4AsP3 (PBE, relaxed)" energy_ev_per_atom=-6.26 delta_e_f_ev_per_atom=-0.9365 magmom_total_mub_per_fu=0.00 pbc="T T T"
Tb 0.000 2.009 2.262
Tb 2.009 0.000 6.952
Ni 0.000 0.000 0.000
Ni 0.000 2.009 5.776
Ni 2.009 0.000 3.437
Ni 2.009 2.009 0.000
As 0.000 0.000 4.607
P 0.000 2.009 8.032
P 2.009 0.000 1.182
P 2.009 2.009 4.607



9
Lattice="-4.134 4.134 5.809 4.134 -4.134 5.809 4.134 4.134 -5.809" Properties=species:S:1:pos:R:3 comment="Cs2MoI5Br (PBE, relaxed)" e_form_raw_mev_per_atom=-855.7 energy_ev_per_atom=-3.30 magmom_total_mub_per_fu=1.99 pbc="T T T"
Cs 4.134 0.000 0.000
Cs 0.000 4.134 0.000
Mo 0.000 0.000 2.886
I 2.162 2.162 -2.908
I 1.972 -1.972 2.901
I -1.972 1.972 2.901
I 0.000 0.000 5.667
I 1.972 1.972 2.901
Br 0.000 0.000 0.323



12
Lattice="3.959 0.000 0.000 0.000 10.426 0.000 -1.973 0.000 6.956" Properties=species:S:1:pos:R:3 comment="RbMgCuS3 (PBE, relaxed)" e_form_raw_mev_per_atom=-718.7 energy_ev_per_atom=-3.89 magmom_total_mub_per_fu=0.00 pbc="T T T"
Rb 0.007 2.607 3.211
Rb 1.979 7.820 3.745
Mg 1.979 0.000 0.000
Mg 1.979 5.213 0.000
Cu -0.006 7.820 0.824
Cu 1.992 2.607 6.133
S -0.002 5.741 1.609
S -0.002 9.898 1.609
S 0.001 7.820 6.652
S 1.985 2.607 0.304
S 1.988 0.528 5.347
S 1.988 4.685 5.347



10
Lattice="6.972 0.000 0.000 -3.479 6.048 0.000 -3.476 -2.017 6.216" Properties=species:S:1:pos:R:3 comment="Na2TmAgCl6 (PBE, relaxed)" e_form_raw_mev_per_atom=-1725.8 energy_ev_per_atom=-3.83 magmom_total_mub_per_fu=0.00 pbc="T T T"
Na 0.000 0.000 0.000
Na -3.476 2.017 3.295
Tm 0.010 0.002 5.763
Ag 0.003 4.034 2.408
Cl -1.426 2.082 1.200
Cl -2.186 -0.219 4.392
Cl 2.515 0.203 1.203
Cl -2.182 4.256 4.387
Cl 0.917 2.015 4.391
Cl 2.404 3.770 1.204



4
Lattice="-1.828 3.201 4.483 1.828 -3.201 4.483 1.828 3.201 -4.483" Properties=species:S:1:pos:R:3 comment="KRhSe2 (PBE, relaxed)" e_form_raw_mev_per_atom=-464.9 energy_ev_per_atom=-4.32 magmom_total_mub_per_fu=0.00 pbc="T T T"
K 0.000 0.000 0.000
Rh 0.000 0.000 4.483
Se 1.828 0.000 2.879
Se 0.000 3.201 1.604



6
Lattice="4.622 -4.710 0.000 4.622 4.710 0.000 0.000 0.000 4.272" Properties=species:S:1:pos:R:3 comment="HoPaSe4 (PBE, relaxed)" e_form_raw_mev_per_atom=-1458.8 energy_ev_per_atom=-6.13 magmom_total_mub_per_fu=0.08 pbc="T T T"
Ho 0.000 0.000 0.000
Pa 4.622 0.000 2.136
Se 1.864 0.000 2.136
Se 4.622 1.805 0.000
Se 4.622 -1.805 0.000
Se 7.379 0.000 2.136



10
Lattice="3.739 0.000 0.000 0.000 9.679 0.000 -1.867 0.000 9.015" Properties=species:S:1:pos:R:3 comment="SmY3Cd (PBE, relaxed)" energy_ev_per_atom=-4.97 delta_e_f_ev_per_atom=0.0398 magmom_total_mub_per_fu=0.00 pbc="T T T"
Sm 0.004 2.420 0.301
Sm 1.868 7.259 8.714
Y 0.001 2.420 3.694
Y 0.000 0.069 7.103
Y 0.000 4.770 7.103
Y 1.872 4.909 1.912
Y 1.872 9.610 1.912
Y 1.871 7.259 5.320
Cd 0.002 7.259 2.927
Cd 1.870 2.420 6.087



18
Lattice="-4.301 4.301 7.852 4.301 -4.301 7.852 4.301 4.301 -7.852" Properties=species:S:1:pos:R:3 comment="Nd2YHo5Er (PBE, relaxed)" energy_ev_per_atom=-4.56 delta_e_f_ev_per_atom=0.2721 magmom_total_mub_per_fu=0.00 pbc="T T T"
Nd 5.317 1.016 0.000
Nd 1.016 3.286 0.000
Nd 3.286 1.016 7.852
Nd -1.016 3.286 7.852
Y 0.000 0.000 3.926
Y 0.000 0.000 11.778
Ho 0.000 0.000 0.000
Ho 2.470 1.831 -2.206
Ho 2.470 -1.831 5.646
Ho 2.470 1.831 2.206
Ho 2.470 -1.831 10.058
Ho 0.000 0.000 7.852
Ho 1.831 6.133 -2.206
Ho 1.831 2.470 5.646
Ho 1.831 6.133 2.206
Ho 1.831 2.470 10.058
Er 4.301 0.000 3.926
Er 0.000 4.301 3.926



14
Lattice="-4.743 4.743 4.743 4.743 -4.743 4.743 4.743 4.743 -4.743" Properties=species:S:1:pos:R:3 comment="Ce5NpTe8 (PBE, relaxed)" e_form_raw_mev_per_atom=-1279.0 energy_ev_per_atom=-6.12 magmom_total_mub_per_fu=11.02 pbc="T T T"
Ce 0.000 0.000 0.000
Ce 2.373 -1.186 3.557
Ce 3.557 2.370 1.186
Ce 2.370 5.929 -1.186
Ce 1.186 2.373 5.929
Np 0.000 4.743 2.371
Te 4.028 3.075 -1.919
Te 6.381 0.726 0.446
Te 0.726 3.106 -0.446
Te 0.715 1.668 2.824
Te 4.017 1.637 4.297
Te 1.668 -0.715 6.662
Te 3.075 5.458 1.919
Te -1.637 4.017 5.189



14
Lattice="8.058 0.000 0.000 0.000 7.482 0.000 -2.237 0.000 8.487" Properties=species:S:1:pos:R:3 comment="Tl4SeBrCl (PBE, relaxed)" e_form_raw_mev_per_atom=-614.3 energy_ev_per_atom=-2.97 magmom_total_mub_per_fu=0.00 pbc="T T T"
Tl -0.252 1.870 1.128
Tl -0.667 5.611 3.183
Tl 1.902 3.874 6.519
Tl 1.902 7.349 6.519
Tl 3.920 0.133 1.968
Tl 3.920 3.608 1.968
Tl 6.489 1.870 5.304
Tl 6.073 5.611 7.359
Se -0.117 1.870 7.866
Se 5.939 5.611 0.621
Br 1.460 1.870 3.965
Br 4.362 5.611 4.522
Cl 1.835 5.611 1.459
Cl 3.987 1.870 7.028